No. 1
SrCd2Au4: optimized geometry, PBE-GGA.

Lattice parameters (Å, degrees): 7.3283 7.3283 5.6595 90.00 90.00 90.00
Space group I4/mmm (No. 139)
Asymmetric unit:
Sr 0.0000 0.0000 0.0000
Cd 0.0000 0.5000 0.2500
Au 0.1940 0.1940 0.5000

Values from the calculation:
- calculated density (g/cm3) = 12.02
- E (eV per atom) = -2.83

---

No. 2
Sr2Cd3Au: optimized geometry, PBE-GGA.

Lattice parameters (Å, degrees): 11.4283 4.9915 7.7505 90.00 131.69 90.00
Space group Cm (No. 8)
Asymmetric unit:
Sr 0.0000 0.0000 0.0000
Sr 0.0945 0.0000 0.5981
Cd 0.2075 0.5000 0.0088
Cd 0.2143 0.5000 0.4115
Cd 0.3820 0.0000 0.1973
Au 0.3834 0.0000 0.5952

Values from the calculation:
- calculated density (g/cm3) = 7.14
- E (eV per atom) = -2.01

---

No. 3
SrCdAu: optimized geometry, PBE-GGA.

Lattice parameters (Å, degrees): 7.7156 4.5956 8.9490 90.00 90.00 90.00
Space group Pnma (No. 62)
Asymmetric unit:
Sr 0.0349 0.2500 0.1839
Cd 0.1464 0.2500 0.5624
Au 0.2380 0.7500 0.3764

Values from the calculation:
- calculated density (g/cm3) = 8.31
- E (eV per atom) = -2.57